1.
Compound: CeZrIr2
Source: Alexandria via LeMat-Bulk
Functional: PBE
Structure: relaxed

```
data_CeZrIr2
_cell_length_a 6.8035
_cell_length_b 6.8035
_cell_length_c 6.8035
_cell_angle_alpha 90.00
_cell_angle_beta 90.00
_cell_angle_gamma 90.00
_symmetry_space_group_name_H-M 'F m -3 m'
_symmetry_Int_Tables_number 225
_symmetry_space_group_name_Hall '-F 4 2 3'
loop_
_atom_site_label
_atom_site_type_symbol
_atom_site_fract_x
_atom_site_fract_y
_atom_site_fract_z
Ce1 Ce 0.0000 0.0000 0.0000
Zr1 Zr 0.0000 0.0000 0.5000
Ir1 Ir 0.2500 0.2500 0.2500
```

**E_tot**: -8.67 eV per atom
**Crystal system**: cubic
**Total moment**: 1.8 Bohr magnetons per cell
**Theoretical density**: 12.99 g/cm3

=====

2.
Compound: CeZrIr4
Source: Alexandria via LeMat-Bulk
Functional: PBE
Structure: relaxed

```
data_CeZrIr4
_cell_length_a 7.5406
_cell_length_b 7.5406
_cell_length_c 7.5406
_cell_angle_alpha 90.00
_cell_angle_beta 90.00
_cell_angle_gamma 90.00
_symmetry_space_group_name_H-M 'F -4 3 m'
_symmetry_Int_Tables_number 216
_symmetry_space_group_name_Hall 'F -4 2 3'
loop_
_atom_site_label
_atom_site_type_symbol
_atom_site_fract_x
_atom_site_fract_y
_atom_site_fract_z
Ce1 Ce 0.0000 0.0000 0.0000
Zr1 Zr 0.2500 0.2500 0.7500
Ir1 Ir 0.1248 0.1248 0.3752
```

**E_tot**: -9.00 eV per atom
**Crystal system**: cubic
**Total moment**: 0.0 Bohr magnetons per cell
**Theoretical density**: 15.49 g/cm3

=====

3.
Compound: CeZrIr
Source: Alexandria via LeMat-Bulk
Functional: PBE
Structure: relaxed

```
data_CeZrIr
_cell_length_a 3.4353
_cell_length_b 3.4353
_cell_length_c 11.1845
_cell_angle_alpha 90.00
_cell_angle_beta 90.00
_cell_angle_gamma 90.00
_symmetry_space_group_name_H-M 'I 4 m m'
_symmetry_Int_Tables_number 107
_symmetry_space_group_name_Hall 'I 4 -2'
loop_
_atom_site_label
_atom_site_type_symbol
_atom_site_fract_x
_atom_site_fract_y
_atom_site_fract_z
Ce1 Ce 0.0000 0.0000 0.0000
Zr1 Zr 0.0000 0.0000 0.2905
Ir1 Ir 0.0000 0.0000 0.6591
```

**E_tot**: -8.20 eV per atom
**Crystal system**: tetragonal
**Total moment**: 0.0 Bohr magnetons per cell
**Theoretical density**: 10.66 g/cm3